The following is a DFT calculation (PBE-GGA) of an optimized crystal structure of In4Ga2Sn.

POSCAR file:
```
In4Ga2Sn
1.0
-4.076 -1.233 -0.109
1.066 -3.498 -0.285
-0.554 0.815 11.512
Sn Ga In
1 2 4
Direct
0.000 0.500 0.000 Sn
0.500 0.207 0.413 Ga
0.500 0.793 0.587 Ga
0.500 0.074 0.148 In
0.000 0.339 0.679 In
0.500 0.926 0.852 In
0.000 0.661 0.321 In
```

Values from the calculation:
- Space group: Cmmm (65)
- V: 178.3 Å³/cell
- Size of the total moment: 0.00 μB/cell
- ΔH_f (0 K): 0.4 eV/f.u.
- E: -20.60 eV per cell